! BeCo2HRh (PBE-GGA, optimized geometry); values from VASP
&SYSTEM
  ibrav = 0, nat = 5, ntyp = 4
/
ATOMIC_SPECIES
Be 9.01 Be.upf
Co 58.93 Co.upf
H 1.01 H.upf
Rh 102.91 Rh.upf
ATOMIC_POSITIONS crystal
Be 0.000 0.000 0.000
Co 0.000 0.500 0.500
Co 0.500 0.000 0.500
H 0.000 0.000 0.500
Rh 0.500 0.500 0.000
CELL_PARAMETERS angstrom
3.430 0.000 0.000
0.000 3.430 0.000
0.000 0.000 3.865
! Space group: P4/mmm
! Distance to the lowest polymorph of the same formula: 0.14 eV per formula unit

! BeCoHRh2 (PBE-GGA, optimized geometry); values from VASP
&SYSTEM
  ibrav = 0, nat = 5, ntyp = 4
/
ATOMIC_SPECIES
Be 9.01 Be.upf
Co 58.93 Co.upf
H 1.01 H.upf
Rh 102.91 Rh.upf
ATOMIC_POSITIONS crystal
Be 0.000 0.000 0.000
Co 0.500 0.500 0.000
H 0.000 0.000 0.500
Rh 0.000 0.500 0.500
Rh 0.500 0.000 0.500
CELL_PARAMETERS angstrom
3.971 0.000 0.000
0.000 3.971 0.000
0.000 0.000 3.232
! Space group: P4/mmm
! Distance to the lowest polymorph of the same formula: 0.30 eV per formula unit

! Be2CoHRh (PBE-GGA, optimized geometry); values from VASP
&SYSTEM
  ibrav = 0, nat = 5, ntyp = 4
/
ATOMIC_SPECIES
Be 9.01 Be.upf
Co 58.93 Co.upf
H 1.01 H.upf
Rh 102.91 Rh.upf
ATOMIC_POSITIONS crystal
Be 0.000 0.500 0.000
Be 0.500 0.000 0.000
Co 0.000 0.000 0.500
H 0.000 0.000 0.000
Rh 0.500 0.500 0.500
CELL_PARAMETERS angstrom
3.787 0.000 0.000
0.000 3.787 0.000
0.000 0.000 2.965
! Space group: P4/mmm

! BeCoHRh2 (PBE-GGA, optimized geometry); values from VASP
&SYSTEM
  ibrav = 0, nat = 5, ntyp = 4
/
ATOMIC_SPECIES
Be 9.01 Be.upf
Co 58.93 Co.upf
H 1.01 H.upf
Rh 102.91 Rh.upf
ATOMIC_POSITIONS crystal
Be 0.000 0.000 0.000
Co 0.500 0.500 0.000
H 0.500 0.500 0.500
Rh 0.000 0.500 0.500
Rh 0.500 0.000 0.500
CELL_PARAMETERS angstrom
3.871 0.000 0.000
0.000 3.871 0.000
0.000 0.000 3.371
! Space group: P4/mmm
! Distance to the lowest polymorph of the same formula: 0.00 eV per formula unit

! BeCo2HRu (PBE-GGA, optimized geometry); values from VASP
&SYSTEM
  ibrav = 0, nat = 5, ntyp = 4
/
ATOMIC_SPECIES
Be 9.01 Be.upf
Co 58.93 Co.upf
H 1.01 H.upf
Ru 101.07 Ru.upf
ATOMIC_POSITIONS crystal
Be 0.000 0.000 0.000
Co 0.000 0.500 0.500
Co 0.500 0.000 0.500
H 0.500 0.500 0.500
Ru 0.500 0.500 0.000
CELL_PARAMETERS angstrom
3.506 0.000 0.000
0.000 3.506 0.000
0.000 0.000 3.834
! Space group: P4/mmm
! Distance to the lowest polymorph of the same formula: 0.00 eV per formula unit

! Be2CoHRu (PBE-GGA, optimized geometry); values from VASP
&SYSTEM
  ibrav = 0, nat = 5, ntyp = 4
/
ATOMIC_SPECIES
Be 9.01 Be.upf
Co 58.93 Co.upf
H 1.01 H.upf
Ru 101.07 Ru.upf
ATOMIC_POSITIONS crystal
Be 0.000 0.500 0.000
Be 0.500 0.000 0.000
Co 0.000 0.000 0.500
H 0.000 0.000 0.000
Ru 0.500 0.500 0.500
CELL_PARAMETERS angstrom
3.752 0.000 0.000
0.000 3.752 0.000
0.000 0.000 3.027
! Space group: P4/mmm
! Distance to the lowest polymorph of the same formula: 0.00 eV per formula unit

! BeCo2HRu (PBE-GGA, optimized geometry); values from VASP
&SYSTEM
  ibrav = 0, nat = 5, ntyp = 4
/
ATOMIC_SPECIES
Be 9.01 Be.upf
Co 58.93 Co.upf
H 1.01 H.upf
Ru 101.07 Ru.upf
ATOMIC_POSITIONS crystal
Be 0.000 0.000 0.000
Co 0.000 0.500 0.500
Co 0.500 0.000 0.500
H 0.000 0.000 0.500
Ru 0.500 0.500 0.000
CELL_PARAMETERS angstrom
3.427 0.000 0.000
0.000 3.427 0.000
0.000 0.000 3.869
! Space group: P4/mmm
! Distance to the lowest polymorph of the same formula: 0.14 eV per formula unit

! Be2CoHRu (PBE-GGA, optimized geometry); values from VASP
&SYSTEM
  ibrav = 0, nat = 5, ntyp = 4
/
ATOMIC_SPECIES
Be 9.01 Be.upf
Co 58.93 Co.upf
H 1.01 H.upf
Ru 101.07 Ru.upf
ATOMIC_POSITIONS crystal
Be 0.000 0.500 0.000
Be 0.500 0.000 0.000
Co 0.000 0.000 0.500
H 0.500 0.500 0.000
Ru 0.500 0.500 0.500
CELL_PARAMETERS angstrom
3.670 0.000 0.000
0.000 3.670 0.000
0.000 0.000 3.319
! Space group: P4/mmm
! Distance to the lowest polymorph of the same formula: 0.53 eV per formula unit

! Be2CoHSe (PBE-GGA, optimized geometry); values from VASP
&SYSTEM
  ibrav = 0, nat = 5, ntyp = 4
/
ATOMIC_SPECIES
Be 9.01 Be.upf
Co 58.93 Co.upf
H 1.01 H.upf
Se 78.96 Se.upf
ATOMIC_POSITIONS crystal
Be 0.000 0.500 0.000
Be 0.500 0.000 0.000
Co 0.000 0.000 0.000
H 0.500 0.500 0.500
Se 0.000 0.000 0.500
CELL_PARAMETERS angstrom
4.162 0.000 0.000
0.000 4.162 0.000
0.000 0.000 4.149
! Space group: P4/mmm

! BeCo2SiH (PBE-GGA, optimized geometry); values from VASP
&SYSTEM
  ibrav = 0, nat = 5, ntyp = 4
/
ATOMIC_SPECIES
Be 9.01 Be.upf
Co 58.93 Co.upf
Si 28.09 Si.upf
H 1.01 H.upf
ATOMIC_POSITIONS crystal
Be 0.000 0.000 0.000
Co 0.000 0.500 0.500
Co 0.500 0.000 0.500
Si 0.500 0.500 0.000
H 0.000 0.000 0.500
CELL_PARAMETERS angstrom
3.591 0.000 0.000
0.000 3.591 0.000
0.000 0.000 3.208
! Space group: P4/mmm

! SmBeCo2H8 (PBE-GGA, optimized geometry); values from VASP
&SYSTEM
  ibrav = 0, nat = 12, ntyp = 4
/
ATOMIC_SPECIES
Sm 150.36 Sm.upf
Be 9.01 Be.upf
Co 58.93 Co.upf
H 1.01 H.upf
ATOMIC_POSITIONS crystal
Sm 0.000 0.000 0.000
Be 0.500 0.500 0.500
Co 0.198 0.198 0.198
Co 0.802 0.802 0.802
H 0.140 0.818 0.402
H 0.182 0.598 0.860
H 0.299 0.299 0.299
H 0.402 0.140 0.818
H 0.598 0.860 0.182
H 0.701 0.701 0.701
H 0.818 0.402 0.140
H 0.860 0.182 0.598
CELL_PARAMETERS angstrom
2.127 1.228 5.393
-2.127 1.228 5.393
0.000 -2.456 5.393
! Space group: R-3

! BeCoSn2H (PBE-GGA, optimized geometry); values from VASP
&SYSTEM
  ibrav = 0, nat = 5, ntyp = 4
/
ATOMIC_SPECIES
Be 9.01 Be.upf
Co 58.93 Co.upf
Sn 118.71 Sn.upf
H 1.01 H.upf
ATOMIC_POSITIONS crystal
Be 0.000 0.000 0.000
Co 0.500 0.500 0.500
Sn 0.000 0.500 0.500
Sn 0.500 0.000 0.500
H 0.500 0.500 0.000
CELL_PARAMETERS angstrom
5.030 0.000 0.000
0.000 5.030 0.000
0.000 0.000 3.182
! Space group: P4/mmm

Number 1: raw total energy -5.748 eV per atom. Number 2: raw total energy -5.790 eV per atom. Number 3: raw total energy -5.297 eV per atom. Number 4: raw total energy -5.849 eV per atom. Number 5: raw total energy -6.046 eV per atom. Number 6: raw total energy -5.512 eV per atom. Number 7: raw total energy -6.018 eV per atom. Number 8: raw total energy -5.407 eV per atom. Number 9: raw total energy -3.497 eV per atom. Number 10: raw total energy -5.661 eV per atom. Number 11: raw total energy -4.310 eV per atom. Number 12: raw total energy -3.970 eV per atom.